# 1
The following is a PBE-GGA calculation of Na2PmCrS4 after structural relaxation, from the Alexandria database.

Cell and atoms, written as extended XYZ:
```
8
Lattice="3.863 0.000 0.000 0.000 6.612 0.087 0.000 -2.343 6.647" Properties=species:S:1:pos:R:3 pbc="T T T"
S 1.931 1.275 1.519
S 1.931 2.993 5.214
S 0.000 0.091 5.297
S 0.000 4.178 1.437
Na 1.931 -1.172 3.323
Na 0.000 2.134 3.367
Pm 0.000 0.000 0.000
Cr 1.931 3.306 0.044
```

Results
Formation energy from raw total energies, eV per atom: -1.287
Magnetization, μB per formula unit: 3.00


# 2
The following is a PBE-GGA calculation of AuBrF2 after structural relaxation, from the Alexandria database.

Cell and atoms, written as extended XYZ:
```
4
Lattice="1.601 -3.750 -1.654 -1.845 -3.845 1.080 -2.312 -2.248 -2.993" Properties=species:S:1:pos:R:3 pbc="T T T"
F -0.639 -2.461 -0.892
F -1.918 -7.382 -2.676
Au -1.278 -4.921 -1.784
Br 0.000 0.000 0.000
```

Results
Formation energy from raw total energies, eV per atom: 0.007
Density of states at the Fermi level, states/eV/atom: 1.44
Magnetization, μB per formula unit: 0.00
Energy above the lowest structure with this stoichiometry, meV/atom: 757